# BaBeTl2 (PBE-GGA, relaxed)
data_BaBeTl2
_chemical_formula_sum 'Ba1 Be1 Tl2'
_symmetry_space_group_name_H-M 'P 1'
_symmetry_Int_Tables_number 1
_cell_length_a 3.656
_cell_length_b 3.656
_cell_length_c 8.207
_cell_angle_alpha 90.00
_cell_angle_beta 90.00
_cell_angle_gamma 94.53
loop_
_symmetry_equiv_pos_as_xyz
'x,y,z'
loop_
_atom_site_label
_atom_site_type_symbol
_atom_site_fract_x
_atom_site_fract_y
_atom_site_fract_z
Ba1 Ba 0.000 0.000 0.000
Be1 Be 0.000 0.000 0.500
Tl1 Tl 0.500 0.500 0.312
Tl2 Tl 0.500 0.500 0.688
# DOS at the Fermi energy in states/eV/f.u.: 2.29
# Energy of formation from the pure elements in meV per atom: 213.8
# SG: Cmmm